Entry from the Alexandria database: an optimized crystal structure of CeTaRu (PBE).

Computed properties:
M_tot	0.99	Bohr magnetons per cell
energy of formation from the pure elements	0.063	eV/atom
electronic total energy	-53.744	eV/cell
theoretical density	10.357	g cm⁻³

Cell lengths 4.1805, 4.8798, 6.6353 Å; angles 90.00, 90.00, 90.00 degrees
Site moments in Bohr magnetons follow the coordinates.
Fractional positions:
Ru 0.5000 0.0000 0.6939  -0.02
Ru 0.0000 0.5000 0.3061  -0.02
Ta 0.5000 0.5000 0.5327  0.00
Ta 0.0000 0.0000 0.4673  0.00
Ce 0.0000 0.0000 0.9567  0.42
Ce 0.5000 0.5000 0.0433  0.42